No. 1
Computed, not measured: a crystal of Sb2F7 relaxed with PBEsol at the meta-GGA SCAN level of DFT.

It has space group P2_1/m (No. 11), with a = 4.684 Å, b = 10.783 Å, c = 10.753 Å, α = 90.00°, β = 94.35° and γ = 90.00°. The asymmetric unit holds Sb at (0.075, 0.250, 0.475), Sb at (0.300, 0.559, 0.231), Sb at (0.371, 0.750, 0.925), F at (0.103, 0.016, 0.780), F at (0.146, 0.624, 0.450), F at (0.166, 0.750, 0.221), F at (0.184, 0.750, 0.669), F at (0.250, 0.587, 0.046), F at (0.294, 0.123, 0.404), F at (0.335, 0.250, 0.621), F at (0.341, 0.250, 0.937) and F at (0.352, 0.126, 0.152).

The uncorrected formation energy comes out at -21.7 eV/f.u. For the total magnetic moment, the calculation gives 0.000 μB/atom.

=====

No. 2
Computed, not measured: a crystal of TcNiPCl2 relaxed with PBEsol at the meta-GGA SCAN level of DFT.

It has space group P4/mmm (No. 123), with a = 4.308 Å, b = 4.308 Å, c = 4.838 Å, α = 90.00°, β = 90.00° and γ = 90.00°. The asymmetric unit holds Tc at (0.000, 0.000, 0.000), Ni at (0.500, 0.500, 0.500), P at (0.500, 0.500, 0.000) and Cl at (0.000, 0.500, 0.500).

The uncorrected formation energy comes out at 2.6 eV/f.u. For the total magnetic moment, the calculation gives 0.868 μB/atom. The energy above the most stable polymorph in this dataset is 0.0000 eV per atom.

=====

No. 3
Computed, not measured: a crystal of CaNiIN2 relaxed with PBEsol at the meta-GGA SCAN level of DFT.

It has space group P4/mmm (No. 123), with a = 4.347 Å, b = 4.347 Å, c = 6.092 Å, α = 90.00°, β = 90.00° and γ = 90.00°. The asymmetric unit holds Ca at (0.000, 0.000, 0.000), Ni at (0.500, 0.500, 0.500), I at (0.000, 0.000, 0.500) and N at (0.000, 0.500, 0.000).

The uncorrected formation energy comes out at 6.8 eV/f.u. For the total magnetic moment, the calculation gives 1.039 μB/atom.

=====

Among the records above, which one has the highest total magnetic moment? CaNiIN2

=====

Look up the total magnetic moment of the second one. 0.868 μB/atom

=====

Which formula does entry 2 have? TcNiPCl2

=====

The lowest total magnetic moment belongs to which entry? Sb2F7